[1]
First-principles (PBE-GGA) data for a relaxed PaTeBr crystal, as listed in the Alexandria database.

a = 3.8647 Å, b = 5.0280 Å, c = 5.0280 Å
α = 120.00°, β = 90.00°, γ = 90.00°
Last column: magnetic moment on the atom in μB.
Fractional coordinates of all 3 atoms:
Pa1 0.1669 0.0000 0.0000  1.58
Te1 0.6668 0.6667 0.3333  -0.05
Br1 0.1663 0.3333 0.6667  -0.02

Summary:
* E_form (uncorrected): -2.2 eV per formula unit
* V: 84.6 Å³/cell
* calculated total energy: -5.487 eV/atom

[2]
First-principles (PBE-GGA) data for a relaxed AlAuS2 crystal, as listed in the Alexandria database.

a = 5.8212 Å, b = 9.4629 Å, c = 6.0358 Å
α = 108.62°, β = 90.00°, γ = 127.76°
Fractional coordinates of all 8 atoms:
S1 0.8999 0.1072 0.0261
S2 0.2282 0.4367 0.6912
S3 0.4576 0.1076 0.5263
S4 0.7857 0.4371 0.1914
Au1 0.5081 0.7721 0.8588
Au2 0.1777 0.7722 0.3588
Al1 0.8427 0.2721 0.8589
Al2 0.8430 0.2721 0.3586

Summary:
* E_form (uncorrected): -2.7 eV per formula unit
* V: 240.5 Å³/cell
* calculated total energy: -4.487 eV/atom

[3]
First-principles (PBE-GGA) data for a relaxed ZnCoRhW crystal, as listed in the Alexandria database.

a = 4.2753 Å, b = 4.2753 Å, c = 4.2753 Å
α = 60.00°, β = 60.00°, γ = 60.00°
Last column: magnetic moment on the atom in μB.
Fractional coordinates of all 4 atoms:
Co1 0.0000 0.0000 0.0000  1.43
Zn1 0.7500 0.7500 0.7500  0.00
Rh1 0.5000 0.5000 0.5000  0.28
W1 0.2500 0.2500 0.2500  0.24

Summary:
* calculated formation energy: -0.017 eV per atom
* V: 55.3 Å³/cell
* calculated total energy: -7.188 eV/atom